The following is a PBE+U calculation of an optimized crystal structure of Mn2NiIO6, from the Alexandria database.

Output
The calculation puts the total DFT energy (no corrections) at -5.877 eV per atom. The value obtained for the total magnetic moment is 11.00 μB/cell.

POSCAR file:
```
Mn2NiIO6
1.0
5.1631 0.0000 0.0000
0.1335 5.4965 0.0000
2.4751 2.4093 4.4968
Mn Ni I O
2 1 1 6
direct
0.0000 0.0000 0.0000 Mn
0.4179 0.4370 0.0824 Mn
0.1094 0.5624 0.6903 Ni
0.6940 0.0731 0.6064 I
0.0538 0.2980 0.5147 O
0.2606 0.7808 0.8365 O
0.3506 0.2769 0.8369 O
0.6583 0.8326 0.9966 O
0.7821 0.2721 0.0903 O
0.9097 0.8237 0.4740 O
```